The following is a DFT calculation (meta-GGA SCAN) of a PBEsol-optimized structure of Ba2SrWBr.

Output
Crystal system: tetragonal
Energy relative to the elements, uncorrected, kJ per mole of atoms: 113.0
Symmetry: No. 123
Calculated total energy, eV per atom: -36.934
Magnetic moment, μB/atom: 0.2280
V, Å³/atom: 41.446

Cell lengths 6.481, 6.481, 4.934 Å; angles 90.00, 90.00, 90.00 degrees
Fractional positions:
Ba 0.000 0.500 0.000
Ba 0.500 0.000 0.000
Sr 0.000 0.000 0.000
W 0.000 0.000 0.500
Br 0.500 0.500 0.500

The following is a DFT calculation (meta-GGA SCAN) of a PBEsol-optimized structure of Ba2TaTlBr.

Output
Crystal system: tetragonal
Energy relative to the elements, uncorrected, kJ per mole of atoms: 19.4
Symmetry: No. 123
Calculated total energy, eV per atom: -47.300
Magnetic moment, μB/atom: 0.2507
V, Å³/atom: 35.822

Cell lengths 6.113, 6.113, 4.794 Å; angles 90.00, 90.00, 90.00 degrees
Fractional positions:
Ba 0.000 0.500 0.000
Ba 0.500 0.000 0.000
Ta 0.000 0.000 0.500
Tl 0.500 0.500 0.500
Br 0.000 0.000 0.000

The following is a DFT calculation (meta-GGA SCAN) of a PBEsol-optimized structure of BaTcBr.

Output
Crystal system: trigonal
Energy relative to the elements, uncorrected, kJ per mole of atoms: 46.2
Symmetry: No. 156
Calculated total energy, eV per atom: -30.877
Magnetic moment, μB/atom: 0.8983
V, Å³/atom: 27.027

Cell lengths 3.673, 3.673, 6.940 Å; angles 90.00, 90.00, 120.00 degrees
Fractional positions:
Ba 0.000 0.000 0.000
Tc 0.667 0.333 0.359
Br 0.333 0.667 0.617